{"formula": "Sm11Cd9Ga4", "functional": "PBE", "state": "optimized geometry", "cell": [[3.7238, 0.0000, 0.0000], [0.0000, 12.4706, -5.2750], [0.0000, 0.0501, 13.5403]], "species": ["Sm", "Sm", "Ga", "Cd", "Sm", "Cd", "Ga", "Sm", "Cd", "Cd", "Sm", "Sm", "Cd", "Ga", "Sm", "Cd", "Ga", "Cd", "Sm", "Cd", "Sm", "Cd", "Sm", "Sm"], "frac_coords": [[0.0000, 0.0628, 0.4098], [0.0000, 0.4098, 0.0628], [0.5000, 0.2489, 0.4493], [0.5000, 0.3700, 0.8393], [0.0000, 0.2985, 0.2985], [0.5000, 0.0712, 0.2141], [0.5000, 0.5507, 0.7511], [0.0000, 0.7015, 0.7015], [0.5000, 0.2141, 0.0712], [0.5000, 0.5000, 0.5000], [0.0000, 0.9372, 0.5902], [0.0000, 0.0000, 0.0000], [0.5000, 0.9288, 0.7859], [0.5000, 0.4493, 0.2489], [0.0000, 0.6297, 0.3703], [0.5000, 0.6300, 0.1607], [0.5000, 0.7511, 0.5507], [0.5000, 0.8393, 0.3700], [0.0000, 0.8351, 0.1649], [0.5000, 0.1607, 0.6300], [0.0000, 0.5902, 0.9372], [0.5000, 0.7859, 0.9288], [0.0000, 0.1649, 0.8351], [0.0000, 0.3703, 0.6297]], "m_tot_mub_per_cell": 0.11, "formation_enthalpy_0k_ev_per_atom": -0.386, "crystal_system": "orthorhombic", "vol_a3_per_atom": 26.24}

{"formula": "CeSb2Pd7", "functional": "PBE", "state": "optimized geometry", "cell": [[-1.7206, -0.5636, 4.2031], [-3.8513, -5.9975, -2.3808], [6.9342, -0.8276, 2.7276]], "species": ["Sb", "Pd", "Pd", "Ce", "Pd", "Sb", "Pd", "Pd", "Pd", "Pd"], "frac_coords": [[0.5000, 0.6980, 0.3959], [0.5000, 0.2917, 0.2225], [0.5000, 0.7083, 0.7775], [0.0000, 0.0000, 0.0000], [0.0000, 0.2062, 0.4125], [0.5000, 0.3020, 0.6041], [0.5000, 0.9308, 0.2225], [0.5000, 0.5000, 0.0000], [0.0000, 0.7938, 0.5875], [0.5000, 0.0692, 0.7775]], "relative_energy_kj_per_mol_atoms": 21.3, "m_tot_mub_per_cell": 0.29, "crystal_system": "orthorhombic", "vol_a3_per_atom": 22.31}

{"formula": "Cs2Cd7Ag", "functional": "PBE", "state": "optimized geometry", "cell": [[-4.5610, -2.2247, 0.7583], [2.1745, -3.3660, 3.2044], [-2.1430, 7.6160, 9.4542]], "species": ["Ag", "Cd", "Cd", "Cs", "Cd", "Cs", "Cd", "Cd", "Cd", "Cd"], "frac_coords": [[0.5000, 0.5000, 0.0000], [0.0000, 0.0000, 0.0000], [0.0000, 0.0000, 0.5000], [0.0000, 0.5000, 0.2437], [0.5000, 0.5000, 0.5000], [0.5000, 0.0000, 0.7563], [0.0000, 0.5000, 0.8787], [0.5000, 0.0000, 0.1213], [0.0000, 0.5000, 0.6320], [0.5000, 0.0000, 0.3680]], "m_tot_mub_per_cell": 0.00, "formation_enthalpy_0k_ev_per_atom": -0.023, "crystal_system": "tetragonal", "vol_a3_per_atom": 32.46}

{"formula": "Y2TiAgP", "functional": "PBE", "state": "optimized geometry", "cell": [[5.3566, 0.0000, 0.0000], [0.0000, 4.6988, 0.0000], [0.0000, 0.0000, 5.3566]], "species": ["Ti", "P", "Y", "Ag", "Y"], "frac_coords": [[0.0000, 0.0000, 0.0000], [0.5000, 0.5000, 0.5000], [0.0000, 0.0000, 0.5000], [0.0000, 0.5000, 0.0000], [0.5000, 0.0000, 0.0000]], "m_tot_mub_per_cell": 0.00, "formation_enthalpy_0k_ev_per_atom": 0.751, "crystal_system": "tetragonal", "vol_a3_per_atom": 26.96}

{"formula": "Ac2AuN", "functional": "PBE", "state": "optimized geometry", "cell": [[6.1249, 0.0000, 0.0000], [0.0000, 5.1108, -2.4720], [0.0000, 0.4145, 7.3763]], "species": ["Ac", "Ac", "Ac", "N", "Au", "Ac", "Au", "N"], "frac_coords": [[0.2500, 0.4868, 0.2912], [0.2500, 0.2633, 0.7088], [0.7500, 0.0545, 0.2912], [0.5000, 0.3750, 0.5000], [0.7500, 0.3751, 0.0000], [0.7500, 0.6956, 0.7088], [0.2500, 0.8751, 0.0000], [0.0000, 0.3750, 0.5000]], "relative_energy_kj_per_mol_atoms": 0.0, "m_tot_mub_per_cell": 0.00, "crystal_system": "orthorhombic", "vol_a3_per_atom": 29.65}

{"formula": "CsCaPrF6", "functional": "PBE", "state": "optimized geometry", "cell": [[8.7265, 0.0000, 0.0000], [0.0000, 8.3651, 0.0000], [-4.3632, -4.1826, 6.0637]], "species": ["F", "F", "Ca", "F", "F", "F", "F", "F", "Cs", "F", "F", "Pr", "F", "Ca", "Cs", "F", "Pr", "F"], "frac_coords": [[0.1854, 0.3215, 0.7307], [0.1854, 0.9092, 0.7307], [0.5000, 0.5000, 0.0000], [0.4547, 0.0908, 0.2693], [0.8203, 0.0703, 0.6406], [0.1797, 0.9297, 0.3594], [0.8146, 0.0908, 0.2693], [0.8146, 0.6785, 0.2693], [0.2043, 0.4543, 0.4085], [0.4408, 0.6908, 0.8816], [0.4547, 0.6785, 0.2693], [0.5000, 0.0000, 0.5000], [0.5453, 0.9092, 0.7307], [0.5000, 0.0000, 0.0000], [0.7957, 0.5457, 0.5915], [0.5453, 0.3215, 0.7307], [0.0000, 0.0000, 0.5000], [0.5592, 0.3092, 0.1184]], "e_tot_ev_per_cell": -104.0, "m_tot_mub_per_cell": 0.23, "crystal_system": "orthorhombic", "vol_a3_per_atom": 24.59}

{"formula": "Ce2Ga3Si", "functional": "PBE", "state": "optimized geometry", "cell": [[4.2151, 0.0000, 0.0000], [0.0000, 4.2175, 0.0000], [0.0000, 0.0000, 7.2800]], "species": ["Ga", "Ga", "Ce", "Si", "Ga", "Ce"], "frac_coords": [[0.5000, 0.5000, 0.6648], [0.5000, 0.0000, 0.1683], [0.0000, 0.0000, 0.4944], [0.5000, 0.5000, 0.3338], [0.5000, 0.0000, 0.8320], [0.0000, 0.5000, 0.0068]], "e_tot_ev_per_cell": -30.1, "m_tot_mub_per_cell": 1.51, "crystal_system": "orthorhombic", "vol_a3_per_atom": 21.57}

{"formula": "AlIrSe2", "functional": "PBE", "state": "optimized geometry", "cell": [[-2.9450, -0.2535, -0.2154], [0.2080, -4.2660, 2.1765], [-0.4963, 2.1480, 4.2576]], "species": ["Al", "Se", "Se", "Ir"], "frac_coords": [[0.5000, 0.0000, 0.5000], [0.0000, 0.0000, 0.0000], [0.5000, 0.5000, 0.0000], [0.0000, 0.5000, 0.5000]], "e_tot_ev_per_cell": -18.2, "m_tot_mub_per_cell": 0.00, "crystal_system": "orthorhombic", "vol_a3_per_atom": 17.03}

{"formula": "YIn2NiBi", "functional": "PBE", "state": "optimized geometry", "cell": [[4.9469, 0.0000, 0.0000], [0.0000, 4.9469, 0.0000], [0.0000, 0.0000, 5.2656]], "species": ["In", "Y", "Ni", "In", "Bi"], "frac_coords": [[0.0000, 0.5000, 0.0000], [0.0000, 0.0000, 0.5000], [0.0000, 0.0000, 0.0000], [0.5000, 0.0000, 0.0000], [0.5000, 0.5000, 0.5000]], "m_tot_mub_per_cell": 0.00, "formation_enthalpy_0k_ev_per_atom": -0.293, "crystal_system": "tetragonal", "vol_a3_per_atom": 25.77}

{"formula": "ScZn2Tc", "functional": "PBE", "state": "optimized geometry", "cell": [[-1.5633, -2.8706, -1.0095], [1.4595, -1.7032, 2.5831], [-4.2500, 1.1933, 3.1882]], "species": ["Sc", "Zn", "Tc", "Zn"], "frac_coords": [[0.5000, 0.5000, 0.2500], [0.0000, 0.0000, 0.5221], [0.5000, 0.5000, 0.7500], [0.0000, 0.0000, 0.9779]], "relative_energy_kj_per_mol_atoms": 8.6, "m_tot_mub_per_cell": 0.00, "formation_enthalpy_0k_ev_per_atom": -0.150, "crystal_system": "tetragonal", "vol_a3_per_atom": 15.93}

{"formula": "PaSnS2N", "functional": "PBE", "state": "optimized geometry", "cell": [[3.8794, 0.0000, 0.0000], [0.0000, 3.8794, 0.0000], [0.0000, 0.0000, 13.3892]], "species": ["Sn", "N", "Pa", "N", "Pa", "S", "S", "Sn", "S", "S"], "frac_coords": [[0.0000, 0.5000, 0.8875], [0.5000, 0.5000, 0.5000], [0.5000, 0.0000, 0.5916], [0.0000, 0.0000, 0.5000], [0.0000, 0.5000, 0.4084], [0.0000, 0.5000, 0.6843], [0.5000, 0.0000, 0.3157], [0.5000, 0.0000, 0.1125], [0.0000, 0.5000, 0.1164], [0.5000, 0.0000, 0.8836]], "e_tot_ev_per_cell": -72.3, "m_tot_mub_per_cell": 0.00, "crystal_system": "tetragonal", "vol_a3_per_atom": 20.15}

{"formula": "PuThBr5", "functional": "PBE", "state": "optimized geometry", "cell": [[3.8904, 0.0000, 0.0000], [0.0000, 7.9727, -0.4003], [0.0000, 0.0229, 15.0349]], "species": ["Pu", "Br", "Pu", "Br", "Br", "Br", "Br", "Th", "Br", "Br", "Br", "Br", "Br", "Th"], "frac_coords": [[0.7500, 0.5888, 0.6389], [0.7500, 0.6465, 0.2733], [0.2500, 0.4112, 0.3611], [0.2500, 0.6960, 0.5036], [0.7500, 0.7212, 0.8385], [0.7500, 0.1643, 0.9212], [0.7500, 0.3040, 0.4964], [0.7500, 0.0015, 0.2026], [0.2500, 0.3535, 0.7267], [0.2500, 0.8357, 0.0788], [0.2500, 0.2788, 0.1615], [0.2500, 0.0290, 0.3519], [0.7500, 0.9710, 0.6481], [0.2500, 0.9985, 0.7974]], "e_tot_ev_per_cell": -81.2, "m_tot_mub_per_cell": 12.05, "crystal_system": "monoclinic", "vol_a3_per_atom": 33.31}